# Y3Ga4Cu4 | Alexandria | GGA-PBE | optimized geometry
# M_tot   0.0 μB per cell
# V   403.10 Å³ per cell
# Uncorrected energy   -4.814 eV per atom
# Formation energy   -460 meV/atom
data_Y3Ga4Cu4
_cell_length_a 4.260
_cell_length_b 6.792
_cell_length_c 13.933
_cell_angle_alpha 90.00
_cell_angle_beta 90.00
_cell_angle_gamma 90.00
_space_group_name_H-M_alt 'I m m m'
_space_group_IT_number 71
_space_group_name_Hall '-I 2 2'
loop_
_atom_site_label
_atom_site_fract_x
_atom_site_fract_y
_atom_site_fract_z
Y1 0.000 0.000 0.000
Y2 0.000 0.500 0.130
Ga1 0.000 0.000 0.219
Ga2 0.000 0.187 0.500
Cu1 0.000 0.314 0.330